1.
Ba4CoSe | PBE-GGA | relaxed

abc: 7.0566 7.0566 7.0566
angles: 60.00 60.00 60.00
With the nearest neighbours (Å) after each atom.
Positions (direct):
Co: 0.7500 0.7500 0.7500  12 Ba 4.14, 4 Se 4.32
Ba: 0.3747 0.8760 0.3747  6 Ba 3.52-3.54
Ba: 0.3747 0.3747 0.8760  6 Ba 3.52-3.54
Ba: 0.3747 0.3747 0.3747  6 Ba 3.52-3.54
Ba: 0.8760 0.3747 0.3747  6 Ba 3.52-3.54
Se: 0.0000 0.0000 0.0000  12 Ba 4.14, 4 Co 4.32

DFT total energy = -2.46 eV/atom
crystal system = cubic
space-group type = No. 216



2.
Ca4MoPb | PBE-GGA | relaxed

abc: 6.5274 6.5274 6.5274
angles: 60.00 60.00 60.00
With the nearest neighbours (Å) after each atom.
Positions (direct):
Ca: 0.3753 0.8742 0.3753  6 Ca 3.26-3.27
Ca: 0.8742 0.3753 0.3753  6 Ca 3.26-3.27
Ca: 0.3753 0.3753 0.3753  6 Ca 3.26-3.27
Ca: 0.3753 0.3753 0.8742  6 Ca 3.26-3.27
Mo: 0.7500 0.7500 0.7500  12 Ca 3.83, 4 Pb 4.00
Pb: 0.0000 0.0000 0.0000  12 Ca 3.83, 4 Mo 4.00

DFT total energy = -2.99 eV/atom
crystal system = cubic
E_form = 443 kJ/mol of formula units
space-group type = No. 216